Record 1
Na2SmPdO4 | PBE-GGA | optimized geometry

Geometry as POSCAR:
```
Na2SmPdO4
1.0
3.4790 0.0000 0.0000
0.0000 5.5064 0.0486
0.0000 -1.9646 5.5841
Na Sm Pd O
2 1 1 4
Cartesian
1.7395 -0.9823 2.7920 Na
0.0000 1.7709 2.8163 Na
1.7395 2.7532 0.0243 Sm
0.0000 0.0000 0.0000 Pd
1.7395 0.7815 1.2419 O
1.7395 2.7603 4.3908 O
0.0000 -0.2109 4.3931 O
0.0000 3.7527 1.2395 O
```

Results
The calculation puts the volume at 107.31 Å³ per cell. As for the crystal system: monoclinic. The calculation puts the total magnetization at 0.7 μB/f.u. Its theoretical density is 5.7 g/cm3. For the formation energy without anion corrections, the calculation gives -13.62 eV per formula unit.

Record 2
MgZrSi2 | PBE-GGA | optimized geometry

Geometry as POSCAR:
```
MgZrSi2
1.0
-0.3735 -4.3063 -2.4145
2.9872 -0.9644 3.8289
-2.3518 -0.7245 1.6537
Mg Si Zr
1 2 1
Cartesian
0.3177 -0.8445 2.7413 Mg
0.0000 0.0000 0.0000 Si
1.3068 -2.6353 0.7072 Si
-1.3626 -2.5154 -0.3804 Zr
```

Results
The calculation puts the volume at 70.31 Å³ per cell. As for the crystal system: orthorhombic. The calculation puts the total magnetization at 0.0 μB/f.u. Its theoretical density is 4.1 g/cm3. For the formation energy without anion corrections, the calculation gives -0.94 eV per formula unit.

Record 3
TiBeS2Cl | PBE-GGA | optimized geometry

Geometry as POSCAR:
```
TiBeS2Cl
1.0
-4.2889 -1.4151 -1.3760
-0.7327 -1.9146 4.2530
-1.8343 4.0804 1.5208
Be S Cl Ti
1 2 1 1
Cartesian
-3.4279 0.3753 2.1989 Be
-0.3664 -0.9573 2.1265 S
-2.1444 -0.7076 -0.6880 S
-0.9171 2.0402 0.7604 Cl
0.0000 0.0000 0.0000 Ti
```

Results
As for the energy above the most stable polymorph in this dataset: 51 meV/atom. The calculation puts the volume at 105.32 Å³ per cell. As for the crystal system: tetragonal. The calculation puts the total magnetization at 0.4 μB/f.u. Its theoretical density is 2.5 g/cm3. For the formation energy without anion corrections, the calculation gives -0.63 eV per formula unit.

Record 4
Li3ZrSc | PBE-GGA | optimized geometry

Geometry as POSCAR:
```
Li3ZrSc
1.0
4.6934 0.0000 0.0000
0.0000 4.6934 0.0000
0.0000 0.0000 4.6934
Sc Zr Li
1 1 3
Cartesian
0.0000 0.0000 0.0000 Sc
2.3467 2.3467 2.3467 Zr
0.0000 2.3467 0.0000 Li
0.0000 0.0000 2.3467 Li
2.3467 0.0000 0.0000 Li
```

Results
As for the energy above the most stable polymorph in this dataset: 0 meV/atom. The calculation puts the volume at 103.38 Å³ per cell. For the calculated formation energy, the calculation gives 5.11 eV per formula unit. As for the crystal system: cubic. The calculation puts the total magnetization at 0.0 μB/f.u. Its theoretical density is 2.5 g/cm3.

Record 5
MgScTi2C | PBE-GGA | optimized geometry

Geometry as POSCAR:
```
MgScTi2C
1.0
-2.1700 -3.4991 -1.2211
3.6217 -2.3024 0.1617
-0.8308 -1.0016 4.3467
Sc Mg C Ti
1 1 1 2
Cartesian
-0.4154 -0.5008 2.1733 Sc
0.3105 -3.4016 1.6436 Mg
0.0000 0.0000 0.0000 C
1.8108 -1.1512 0.0808 Ti
-1.0850 -1.7496 -0.6105 Ti
```

Results
The calculation puts the volume at 83.68 Å³ per cell. For the calculated formation energy, the calculation gives -1.48 eV per formula unit. As for the crystal system: tetragonal. The calculation puts the total magnetization at 0.0 μB/f.u. Its theoretical density is 3.5 g/cm3.

Record 6
In6PtRh3 | PBE-GGA | optimized geometry

Geometry as POSCAR:
```
In6PtRh3
1.0
-2.3745 6.4637 1.1404
0.4871 -1.0053 6.7127
8.1748 2.9583 -0.1502
In Pt Rh
12 2 6
Cartesian
6.1241 6.7751 1.6147 In
3.1807 5.7832 1.6540 In
0.5372 4.9316 3.8998 In
5.7503 3.4851 3.8030 In
3.1068 2.6335 6.0489 In
0.1634 1.6416 6.0882 In
3.3199 1.8659 2.4434 In
0.3802 0.8664 2.5328 In
5.6034 3.6090 0.3829 In
0.6840 4.8077 7.3199 In
5.9073 7.5503 5.1701 In
2.9675 6.5508 5.2595 In
3.1437 4.2083 3.8514 Pt
0.0000 0.0000 0.0000 Pt
5.2167 4.8954 6.0318 Rh
-0.9437 2.7292 3.9265 Rh
1.0708 3.5213 1.6710 Rh
2.2455 0.3311 4.5573 Rh
4.0874 1.4792 -0.0751 Rh
4.0420 8.0856 3.1456 Rh
```

Results
The calculation puts the volume at 412.98 Å³ per cell. For the calculated formation energy, the calculation gives -2.53 eV per formula unit. As for the crystal system: monoclinic. The calculation puts the total magnetization at 0.0 μB/f.u. Its theoretical density is 9.6 g/cm3.

Record 7
PrYAlSn | PBE-GGA | optimized geometry

Geometry as POSCAR:
```
PrYAlSn
1.0
4.5809 0.0000 0.0000
0.0000 4.2581 0.0000
-2.2904 0.0000 5.7543
Pr Y Al Sn
1 1 1 1
Cartesian
0.0000 0.0000 1.6043 Pr
2.2904 2.1291 4.1435 Y
2.2905 2.1291 0.9115 Al
0.0000 0.0000 4.8494 Sn
```

Results
As for the energy above the most stable polymorph in this dataset: 0 meV/atom. The calculation puts the volume at 112.24 Å³ per cell. For the calculated formation energy, the calculation gives -2.47 eV per formula unit. As for the crystal system: orthorhombic. The calculation puts the total magnetization at 0.0 μB/f.u. Its theoretical density is 5.6 g/cm3.

Record 8
Hg2SbAu3 | PBE-GGA | optimized geometry

Geometry as POSCAR:
```
Hg2SbAu3
1.0
-3.8203 1.0578 5.9272
-6.8480 -1.0159 1.7081
-0.3194 -7.2080 3.7721
Hg Sb Au
4 2 6
Cartesian
-7.3178 -2.9351 6.7088 Hg
-7.4895 -6.5473 8.5781 Hg
-3.4982 -0.6189 2.8293 Hg
-3.6699 -4.2311 4.6986 Hg
-6.9262 -2.8168 2.6534 Sb
-4.0615 -4.3493 8.7540 Sb
-5.5752 -5.3861 6.6446 Au
-5.4125 -1.7801 4.7627 Au
-1.9892 -6.6468 4.6797 Au
-9.1703 -4.1316 8.5968 Au
-1.8174 -3.0345 2.8106 Au
-8.9985 -0.5193 6.7277 Au
```

Results
The calculation puts the volume at 284.99 Å³ per cell. As for the crystal system: monoclinic. The calculation puts the total magnetization at 0.0 μB/f.u. Its theoretical density is 13.0 g/cm3. For the formation energy without anion corrections, the calculation gives 0.25 eV per formula unit.

Record 9
YZrIr | PBE-GGA | optimized geometry

Geometry as POSCAR:
```
YZrIr
1.0
-4.5579 -5.3428 0.9189
-0.3887 -3.0029 7.9076
-7.1321 2.0878 4.0586
Y Zr Ir
6 6 6
Cartesian
-4.6536 0.0994 2.6855 Y
-7.0734 -5.9452 10.1287 Y
-3.6116 -3.5317 7.2558 Y
-6.9831 -0.9868 5.3301 Y
-10.4454 -3.4006 8.2037 Y
-1.2825 -2.4462 4.6107 Y
-0.0391 -0.0459 0.0079 Zr
-3.7995 -0.5034 5.9910 Zr
-6.2336 -4.3681 5.1451 Zr
-6.9923 -3.2347 7.9713 Zr
-3.2313 -2.7776 1.9886 Zr
-9.9946 -4.8251 11.1278 Zr
-8.8750 -3.2047 5.7114 Ir
-5.5037 -5.7495 7.6374 Ir
-1.6481 -0.6182 2.0708 Ir
-8.1837 -3.0060 10.3613 Ir
-4.4227 -2.5488 4.3786 Ir
-5.4090 -1.0753 8.0535 Ir
```

Results
As for the energy above the most stable polymorph in this dataset: 0 meV/atom. The calculation puts the volume at 403.27 Å³ per cell. For the calculated formation energy, the calculation gives -2.07 eV per formula unit. As for the crystal system: orthorhombic. The calculation puts the total magnetization at 0.0 μB/f.u. Its theoretical density is 9.2 g/cm3.

Record 10
TiAl3Ga | PBE-GGA | optimized geometry

Geometry as POSCAR:
```
TiAl3Ga
1.0
-0.8090 2.5993 -3.1449
2.0274 -3.8596 -3.7115
-6.0478 -4.0761 0.9351
Ti Al Ga
2 6 2
Cartesian
0.2847 -1.0598 -0.9506 Ti
-5.1140 -4.2767 -4.9706 Ti
0.3778 -3.0741 -5.3881 Al
-5.2071 -2.2624 -0.5331 Al
-0.6170 -1.1804 -3.5671 Al
-4.2124 -4.1560 -2.3541 Al
-4.1011 -1.4744 -2.9152 Al
-0.7282 -3.8621 -3.0060 Al
-2.2025 -2.1327 -1.1935 Ga
-2.6268 -3.2038 -4.7277 Ga
```

Results
As for the energy above the most stable polymorph in this dataset: 0 meV/atom. The calculation puts the volume at 167.97 Å³ per cell. For the calculated formation energy, the calculation gives -0.64 eV per formula unit. As for the crystal system: orthorhombic. The calculation puts the total magnetization at 0.0 μB/f.u. Its theoretical density is 3.9 g/cm3.

Record 11
U2Si3Ir | PBE-GGA | optimized geometry

Geometry as POSCAR:
```
U2Si3Ir
1.0
3.7237 0.0000 0.0000
0.0000 4.1678 0.0000
0.0000 0.0000 7.0817
U Si Ir
2 3 1
Cartesian
0.0000 2.0839 0.0072 U
0.0000 0.0000 3.5387 U
1.8618 0.0000 5.8842 Si
1.8618 0.0000 1.1324 Si
1.8618 2.0839 4.7765 Si
1.8618 2.0839 2.3654 Ir
```

Results
As for the energy above the most stable polymorph in this dataset: 0 meV/atom. The calculation puts the volume at 109.91 Å³ per cell. As for the crystal system: orthorhombic. The calculation puts the total magnetization at 3.7 μB/f.u. Its theoretical density is 11.4 g/cm3. For the formation energy without anion corrections, the calculation gives -3.13 eV per formula unit.

Record 12
ScCd2Br | PBE-GGA | optimized geometry

Geometry as POSCAR:
```
ScCd2Br
1.0
9.3489 -0.0205 -0.0121
8.6758 3.4833 -0.0121
8.6758 1.6668 3.0587
Br Cd Sc
1 2 1
Cartesian
20.0253 3.8472 2.2758 Br
0.0165 0.0032 0.0019 Cd
13.3337 2.5616 1.5154 Cd
6.6751 1.2824 0.7586 Sc
```

Results
As for the energy above the most stable polymorph in this dataset: 219 meV/atom. The calculation puts the volume at 100.53 Å³ per cell. As for the crystal system: trigonal. The calculation puts the total magnetization at 0.2 μB/f.u. Its theoretical density is 5.8 g/cm3. For the formation energy without anion corrections, the calculation gives -0.91 eV per formula unit.

Record 13
Tl2In2Sn | PBE-GGA | optimized geometry

Geometry as POSCAR:
```
Tl2In2Sn
1.0
-1.3776 0.2575 2.9498
-4.7792 -0.0477 -2.2279
2.9912 -8.4667 0.0051
Tl In Sn
2 2 1
Cartesian
0.0354 -1.6889 -0.0397 Tl
-3.2010 -6.5679 0.7668 Tl
-3.0788 -3.2730 0.4341 In
-0.0868 -4.9839 0.2930 In
-3.0784 0.1049 0.3610 Sn
```

Results
As for the energy above the most stable polymorph in this dataset: 0 meV/atom. The calculation puts the volume at 144.06 Å³ per cell. For the calculated formation energy, the calculation gives 0.15 eV per formula unit. As for the crystal system: monoclinic. The calculation puts the total magnetization at 0.0 μB/f.u. Its theoretical density is 8.7 g/cm3.

Record 14
K2AgCl4 | PBE-GGA | optimized geometry

Geometry as POSCAR:
```
K2AgCl4
1.0
4.1493 0.0000 0.0000
0.0000 7.2845 0.0000
0.0000 0.0000 7.2845
K Ag Cl
2 1 4
Cartesian
2.0746 0.0000 3.6422 K
2.0746 3.6422 0.0000 K
0.0000 0.0000 0.0000 Ag
0.0000 5.5428 5.5428 Cl
0.0000 1.7416 1.7416 Cl
0.0000 5.5428 1.7416 Cl
0.0000 1.7416 5.5428 Cl
```

Results
As for the energy above the most stable polymorph in this dataset: 0 meV/atom. The calculation puts the volume at 220.17 Å³ per cell. As for the crystal system: tetragonal. The calculation puts the total magnetization at 0.5 μB/f.u. Its theoretical density is 2.5 g/cm3. For the formation energy without anion corrections, the calculation gives -9.00 eV per formula unit.

Record 15
Ba2Li2PmTl5 | PBE-GGA | optimized geometry

Geometry as POSCAR:
```
Ba2Li2PmTl5
1.0
4.0645 0.0000 0.0000
0.0000 12.0684 0.0000
0.0000 0.0000 12.0684
Ba Li Pm Tl
4 4 2 10
Cartesian
0.0000 8.1910 2.1569 Ba
0.0000 3.8773 9.9115 Ba
0.0000 2.1569 3.8773 Ba
0.0000 9.9115 8.1910 Ba
0.0000 1.4394 7.4736 Li
0.0000 10.6290 4.5948 Li
0.0000 7.4736 10.6290 Li
0.0000 4.5948 1.4394 Li
0.0000 0.0000 0.0000 Pm
0.0000 6.0342 6.0342 Pm
2.0323 2.5383 0.7452 Tl
2.0323 9.5301 11.3232 Tl
2.0323 0.7452 9.5301 Tl
2.0323 8.5725 5.2890 Tl
2.0323 11.3232 2.5383 Tl
2.0323 3.4959 6.7794 Tl
2.0323 6.7794 8.5725 Tl
2.0323 5.2890 3.4959 Tl
2.0323 6.0342 0.0000 Tl
2.0323 0.0000 6.0342 Tl
```

Results
The calculation puts the volume at 591.98 Å³ per cell. For the calculated formation energy, the calculation gives -3.32 eV per formula unit. As for the crystal system: tetragonal. The calculation puts the total magnetization at 0.0 μB/f.u. Its theoretical density is 8.2 g/cm3.

Record 16
K3BeBr5 | PBE-GGA | optimized geometry

Geometry as POSCAR:
```
K3BeBr5
1.0
8.0057 0.0000 -4.4045
-2.4232 7.6301 -4.4045
0.0226 0.0309 9.5190
K Be Br
6 2 10
Cartesian
4.9187 1.2518 -3.6474 K
0.6638 6.3783 -5.1615 K
5.0831 5.0669 -6.6067 K
0.4994 2.5633 -2.2022 K
1.4069 1.9230 2.5573 K
4.1982 5.7381 -1.8472 K
5.4098 1.9230 0.3551 Be
0.1953 5.7381 0.3551 Be
6.6990 3.6851 0.1116 Br
5.1754 1.6027 2.5158 Br
-0.7004 7.5002 1.3137 Br
2.1459 5.4177 1.3137 Br
-1.0939 3.9760 0.5985 Br
0.4297 6.0584 -1.8057 Br
6.3055 0.1609 -0.6036 Br
3.4592 2.2433 -0.6036 Br
2.7912 3.8151 -4.4045 Br
0.0000 0.0000 0.0000 Br
```

Results
The calculation puts the volume at 583.64 Å³ per cell. As for the crystal system: tetragonal. The calculation puts the total magnetization at 0.0 μB/f.u. Its theoretical density is 3.0 g/cm3. For the formation energy without anion corrections, the calculation gives -13.64 eV per formula unit.